Ac4TlGe3: optimized geometry, PBE-GGA.

The value obtained for the formation energy is -603 meV per atom. The value obtained for the total magnetization is 0.052 μB/f.u. The density of states at the Fermi level is 6.2 states/eV/cell. The calculation puts the total energy at -0.1722 Ha/atom.

a = 4.8213 Å, b = 4.3891 Å, c = 12.0488 Å
α = 90.00°, β = 90.00°, γ = 90.00°
Atoms (fractional coordinates):
Ge 0.5000 0.0000 0.9143
Ac 0.0000 0.5000 0.8550
Ac 0.5000 0.0000 0.6375
Ac 0.0000 0.0000 0.1474
Ac 0.5000 0.5000 0.3679
Ge 0.0000 0.0000 0.4293
Ge 0.0000 0.5000 0.5743
Tl 0.5000 0.5000 0.0742